1.
{"formula": "Y2PRh6", "functional": "GGA-PBE", "state": "relaxed", "space_group": "No. 225", "formation_enthalpy_0k_ev_per_atom": -0.830, "total_magnetization_mub_per_fu": 0.00, "energy_ev_per_atom": -7.768, "dos_at_fermi_per_ev_cell": 8.9, "cell": [[0.0000, 4.2124, 4.2124], [4.2124, 0.0000, 4.2124], [4.2124, 4.2124, 0.0000]], "species": ["Y", "Y", "P", "Rh", "Rh", "Rh", "Rh", "Rh", "Rh"], "fractional_positions": [[0.2500, 0.2500, 0.2500], [0.7500, 0.7500, 0.7500], [0.0000, 0.0000, 0.0000], [0.2664, 0.2664, 0.7336], [0.2664, 0.7336, 0.2664], [0.2664, 0.7336, 0.7336], [0.7336, 0.2664, 0.2664], [0.7336, 0.2664, 0.7336], [0.7336, 0.7336, 0.2664]]}

=====

2.
{"formula": "LiZn3F", "functional": "GGA-PBE", "state": "relaxed", "space_group": "No. 221", "relative_energy_mev_per_atom": 0, "formation_energy_uncorrected_kcal_per_mol_atoms": -4.60, "total_magnetization_mub_per_fu": 0.00, "energy_ev_per_atom": -1.721, "dos_at_fermi_per_ev_cell": 1.8, "cell": [[4.4984, 0.0000, 0.0000], [0.0000, 4.4984, 0.0000], [0.0000, 0.0000, 4.4984]], "species": ["Li", "Zn", "Zn", "Zn", "F"], "fractional_positions": [[0.0000, 0.0000, 0.0000], [0.0000, 0.5000, 0.5000], [0.5000, 0.0000, 0.5000], [0.5000, 0.5000, 0.0000], [0.5000, 0.5000, 0.5000]]}

=====

3.
{"formula": "UCd2Br8", "functional": "GGA-PBE", "state": "relaxed", "space_group": "No. 12", "formation_energy_uncorrected_kcal_per_mol_atoms": -22.66, "total_magnetization_mub_per_fu": 2.00, "energy_ev_per_atom": -3.392, "dos_at_fermi_per_ev_cell": 3.5, "cell": [[8.8257, -3.8620, 0.0000], [8.8257, 3.8620, 0.0000], [-0.6082, 0.0000, 6.8210]], "species": ["U", "Cd", "Cd", "Br", "Br", "Br", "Br", "Br", "Br", "Br", "Br"], "fractional_positions": [[0.0000, 0.0000, 0.0000], [0.1592, 0.1592, 0.4382], [0.8408, 0.8408, 0.5618], [0.1380, 0.1380, 0.8226], [0.1862, 0.6886, 0.7380], [0.2944, 0.2944, 0.3561], [0.3114, 0.8138, 0.2620], [0.6886, 0.1862, 0.7380], [0.7056, 0.7056, 0.6439], [0.8138, 0.3114, 0.2620], [0.8620, 0.8620, 0.1774]]}

=====

4.
{"formula": "MgCr2Ag", "functional": "GGA-PBE", "state": "relaxed", "space_group": "No. 10", "formation_enthalpy_0k_ev_per_atom": 0.560, "total_magnetization_mub_per_fu": 0.04, "energy_ev_per_atom": -5.363, "dos_at_fermi_per_ev_cell": 4.4, "cell": [[2.7161, 0.0000, 0.0000], [0.0000, 4.7091, 0.0000], [-0.9645, 0.0000, 4.7441]], "species": ["Mg", "Cr", "Cr", "Ag"], "fractional_positions": [[0.0000, 0.0000, 0.0000], [0.3136, 0.5000, 0.7937], [0.6864, 0.5000, 0.2063], [0.5000, 0.0000, 0.5000]]}

=====

5.
{"formula": "Sr2CrPb", "functional": "GGA-PBE", "state": "relaxed", "space_group": "No. 119", "formation_enthalpy_0k_ev_per_atom": 0.198, "total_magnetization_mub_per_fu": 4.59, "energy_ev_per_atom": -3.976, "dos_at_fermi_per_ev_cell": 3.3, "cell": [[-2.5422, 2.5422, 4.9150], [2.5422, -2.5422, 4.9150], [2.5422, 2.5422, -4.9150]], "species": ["Sr", "Sr", "Cr", "Pb"], "fractional_positions": [[0.0000, 0.0000, 0.0000], [0.7500, 0.2500, 0.5000], [0.2500, 0.7500, 0.5000], [0.5000, 0.5000, 0.0000]]}

=====

6.
{"formula": "Nd5Sn2Ir2", "functional": "GGA-PBE", "state": "relaxed", "space_group": "No. 64", "formation_enthalpy_0k_ev_per_atom": -0.624, "total_magnetization_mub_per_fu": 0.00, "energy_ev_per_atom": -6.131, "dos_at_fermi_per_ev_cell": 14.1, "cell": [[7.9962, -4.2977, 0.0000], [7.9962, 4.2977, 0.0000], [0.0000, 0.0000, 7.4383]], "species": ["Nd", "Nd", "Nd", "Nd", "Nd", "Nd", "Nd", "Nd", "Nd", "Nd", "Sn", "Sn", "Sn", "Sn", "Ir", "Ir", "Ir", "Ir"], "fractional_positions": [[0.0000, 0.0000, 0.0000], [0.0606, 0.6960, 0.6566], [0.1960, 0.5606, 0.1566], [0.3040, 0.9394, 0.6566], [0.4394, 0.8040, 0.1566], [0.5000, 0.5000, 0.5000], [0.5606, 0.1960, 0.8434], [0.6960, 0.0606, 0.3434], [0.8040, 0.4394, 0.8434], [0.9394, 0.3040, 0.3434], [0.2136, 0.2136, 0.0000], [0.2864, 0.2864, 0.5000], [0.7136, 0.7136, 0.5000], [0.7864, 0.7864, 0.0000], [0.1213, 0.8787, 0.3730], [0.3787, 0.6213, 0.8730], [0.6213, 0.3787, 0.1270], [0.8787, 0.1213, 0.6270]]}

=====

7.
{"formula": "Sr3GeO5", "functional": "GGA-PBE", "state": "relaxed", "space_group": "No. 130", "relative_energy_mev_per_atom": 0, "formation_energy_uncorrected_kcal_per_mol_atoms": -59.11, "total_magnetization_mub_per_fu": 0.00, "energy_ev_per_atom": -6.391, "dos_at_fermi_per_ev_cell": 0.0, "cell": [[7.3122, 0.0000, 0.0000], [0.0000, 7.3122, 0.0000], [0.0000, 0.0000, 11.0985]], "species": ["Sr", "Sr", "Sr", "Sr", "Sr", "Sr", "Sr", "Sr", "Sr", "Sr", "Sr", "Sr", "Ge", "Ge", "Ge", "Ge", "O", "O", "O", "O", "O", "O", "O", "O", "O", "O", "O", "O", "O", "O", "O", "O", "O", "O", "O", "O"], "fractional_positions": [[0.0416, 0.5416, 0.2500], [0.0416, 0.9584, 0.7500], [0.2500, 0.2500, 0.0171], [0.2500, 0.2500, 0.5171], [0.4584, 0.5416, 0.7500], [0.4584, 0.9584, 0.2500], [0.5416, 0.0416, 0.7500], [0.5416, 0.4584, 0.2500], [0.7500, 0.7500, 0.4829], [0.7500, 0.7500, 0.9829], [0.9584, 0.0416, 0.2500], [0.9584, 0.4584, 0.7500], [0.2500, 0.7500, 0.0000], [0.2500, 0.7500, 0.5000], [0.7500, 0.2500, 0.0000], [0.7500, 0.2500, 0.5000], [0.0687, 0.6869, 0.9016], [0.0687, 0.8131, 0.4016], [0.1869, 0.5687, 0.5984], [0.1869, 0.9313, 0.0984], [0.2500, 0.2500, 0.2984], [0.2500, 0.2500, 0.7984], [0.3131, 0.5687, 0.0984], [0.3131, 0.9313, 0.5984], [0.4313, 0.6869, 0.4016], [0.4313, 0.8131, 0.9016], [0.5687, 0.1869, 0.0984], [0.5687, 0.3131, 0.5984], [0.6869, 0.0687, 0.4016], [0.6869, 0.4313, 0.9016], [0.7500, 0.7500, 0.2016], [0.7500, 0.7500, 0.7016], [0.8131, 0.0687, 0.9016], [0.8131, 0.4313, 0.4016], [0.9313, 0.1869, 0.5984], [0.9313, 0.3131, 0.0984]]}

=====

8.
{"formula": "K8Rb2Au3", "functional": "GGA-PBE", "state": "relaxed", "space_group": "No. 10", "formation_enthalpy_0k_ev_per_atom": -0.110, "total_magnetization_mub_per_fu": 0.00, "energy_ev_per_atom": -1.691, "dos_at_fermi_per_ev_cell": 8.5, "cell": [[11.5624, 0.0000, 0.0000], [0.0000, 5.7128, 0.0000], [-5.7772, 0.0000, 11.7327]], "species": ["K", "K", "K", "K", "K", "K", "K", "K", "Rb", "Rb", "Au", "Au", "Au"], "fractional_positions": [[0.0807, 0.0000, 0.1610], [0.1615, 0.5000, 0.8347], [0.3267, 0.5000, 0.1644], [0.4169, 0.0000, 0.8337], [0.5831, 0.0000, 0.1663], [0.6733, 0.5000, 0.8356], [0.8385, 0.5000, 0.1653], [0.9193, 0.0000, 0.8390], [0.2513, 0.5000, 0.5019], [0.7487, 0.5000, 0.4981], [0.0000, 0.5000, 0.0000], [0.2513, 0.0000, 0.9997], [0.7487, 0.0000, 0.0003]]}

=====

9.
{"formula": "Sc3SnPb", "functional": "GGA-PBE", "state": "relaxed", "space_group": "No. 221", "relative_energy_mev_per_atom": 641, "formation_enthalpy_0k_ev_per_atom": 0.217, "total_magnetization_mub_per_fu": 0.00, "energy_ev_per_atom": -5.124, "dos_at_fermi_per_ev_cell": 5.5, "cell": [[5.3574, 0.0000, 0.0000], [0.0000, 5.3574, 0.0000], [0.0000, 0.0000, 5.3574]], "species": ["Sc", "Sc", "Sc", "Sn", "Pb"], "fractional_positions": [[0.0000, 0.0000, 0.5000], [0.0000, 0.5000, 0.0000], [0.5000, 0.0000, 0.0000], [0.5000, 0.5000, 0.5000], [0.0000, 0.0000, 0.0000]]}

=====

10.
{"formula": "CeAl4PdAu2", "functional": "GGA-PBE", "state": "relaxed", "space_group": "No. 166", "formation_enthalpy_0k_ev_per_atom": -0.571, "total_magnetization_mub_per_fu": 0.71, "energy_ev_per_atom": -4.653, "dos_at_fermi_per_ev_cell": 7.2, "cell": [[2.1846, 1.2613, 8.9652], [-2.1846, 1.2613, 8.9652], [0.0000, -2.5226, 8.9652]], "species": ["Ce", "Al", "Al", "Al", "Al", "Pd", "Au", "Au"], "fractional_positions": [[0.0000, 0.0000, 0.0000], [0.1319, 0.1319, 0.1319], [0.4030, 0.4030, 0.4030], [0.5970, 0.5970, 0.5970], [0.8681, 0.8681, 0.8681], [0.5000, 0.5000, 0.5000], [0.2449, 0.2449, 0.2449], [0.7551, 0.7551, 0.7551]]}

=====

11.
{"formula": "LiPPb2", "functional": "GGA-PBE", "state": "relaxed", "space_group": "No. 122", "formation_enthalpy_0k_ev_per_atom": 0.000, "total_magnetization_mub_per_fu": 0.00, "energy_ev_per_atom": -3.685, "dos_at_fermi_per_ev_cell": 0.8, "cell": [[-3.9510, 3.9510, 3.2748], [3.9510, -3.9510, 3.2748], [3.9510, 3.9510, -3.2748]], "species": ["Li", "Li", "P", "P", "Pb", "Pb", "Pb", "Pb"], "fractional_positions": [[0.0000, 0.0000, 0.0000], [0.7500, 0.2500, 0.5000], [0.2500, 0.7500, 0.5000], [0.5000, 0.5000, 0.0000], [0.1523, 0.1250, 0.5273], [0.3750, 0.8477, 0.9727], [0.5977, 0.6250, 0.4727], [0.8750, 0.4023, 0.0273]]}

=====

12.
{"formula": "FeAg2Sb", "functional": "GGA-PBE", "state": "relaxed", "space_group": "No. 139", "formation_energy_uncorrected_kcal_per_mol_atoms": 7.39, "total_magnetization_mub_per_fu": 2.77, "energy_ev_per_atom": -4.251, "dos_at_fermi_per_ev_cell": 4.7, "cell": [[-1.9954, 1.9954, 4.5773], [1.9954, -1.9954, 4.5773], [1.9954, 1.9954, -4.5773]], "species": ["Fe", "Ag", "Ag", "Sb"], "fractional_positions": [[0.0000, 0.0000, 0.0000], [0.2500, 0.7500, 0.5000], [0.7500, 0.2500, 0.5000], [0.5000, 0.5000, 0.0000]]}

=====

13.
{"formula": "Pr4Tl2In", "functional": "GGA-PBE", "state": "relaxed", "space_group": "No. 11", "relative_energy_mev_per_atom": 105, "formation_enthalpy_0k_ev_per_atom": -0.185, "total_magnetization_mub_per_fu": 0.00, "energy_ev_per_atom": -3.983, "dos_at_fermi_per_ev_cell": 16.1, "cell": [[7.6182, 0.0000, 0.0000], [0.0000, 6.7794, 0.0000], [-2.9576, 0.0000, 8.8699]], "species": ["Pr", "Pr", "Pr", "Pr", "Pr", "Pr", "Pr", "Pr", "Tl", "Tl", "Tl", "Tl", "In", "In"], "fractional_positions": [[0.0732, 0.2500, 0.0435], [0.1711, 0.0064, 0.7212], [0.1711, 0.4936, 0.7212], [0.3313, 0.7500, 0.3523], [0.6687, 0.2500, 0.6477], [0.8289, 0.5064, 0.2788], [0.8289, 0.9936, 0.2788], [0.9268, 0.7500, 0.9565], [0.2117, 0.2500, 0.4337], [0.4362, 0.7500, 0.0406], [0.5638, 0.2500, 0.9594], [0.7883, 0.7500, 0.5663], [0.4847, 0.2500, 0.2775], [0.5153, 0.7500, 0.7225]]}

=====

14.
{"formula": "CaNi5H", "functional": "GGA-PBE", "state": "relaxed", "space_group": "No. 8", "relative_energy_mev_per_atom": 17, "total_magnetization_mub_per_fu": 1.80, "energy_ev_per_atom": -5.003, "dos_at_fermi_per_ev_cell": 7.5, "cell": [[4.2800, -2.5288, 0.0000], [4.2800, 2.5288, 0.0000], [-0.0748, 0.0000, 3.9767]], "species": ["Ca", "Ni", "Ni", "Ni", "Ni", "Ni", "H"], "fractional_positions": [[0.0000, 0.0000, 0.0000], [0.0042, 0.4850, 0.5375], [0.3343, 0.3343, 0.0302], [0.4850, 0.0042, 0.5375], [0.4955, 0.4955, 0.5337], [0.6559, 0.6559, 0.0325], [0.7933, 0.7933, 0.3267]]}

=====

15.
{"formula": "RbHfB", "functional": "GGA-PBE", "state": "relaxed", "space_group": "No. 59", "relative_energy_mev_per_atom": 304, "formation_enthalpy_0k_ev_per_atom": 0.349, "total_magnetization_mub_per_fu": 0.00, "energy_ev_per_atom": -5.517, "dos_at_fermi_per_ev_cell": 3.3, "cell": [[4.2943, 0.0000, 0.0000], [0.0000, 4.5327, 0.0000], [0.0000, 0.0000, 10.3909]], "species": ["Rb", "Rb", "Hf", "Hf", "B", "B"], "fractional_positions": [[0.2500, 0.2500, 0.2005], [0.7500, 0.7500, 0.7995], [0.2500, 0.2500, 0.5629], [0.7500, 0.7500, 0.4371], [0.2500, 0.7500, 0.5174], [0.7500, 0.2500, 0.4826]]}

=====

16.
{"formula": "BeVMo2", "functional": "GGA-PBE", "state": "relaxed", "space_group": "No. 122", "formation_enthalpy_0k_ev_per_atom": 0.569, "total_magnetization_mub_per_fu": 0.00, "energy_ev_per_atom": -8.058, "dos_at_fermi_per_ev_cell": 5.8, "cell": [[-3.3461, 3.3461, 2.5318], [3.3461, -3.3461, 2.5318], [3.3461, 3.3461, -2.5318]], "species": ["Be", "Be", "V", "V", "Mo", "Mo", "Mo", "Mo"], "fractional_positions": [[0.0000, 0.0000, 0.0000], [0.7500, 0.2500, 0.5000], [0.2500, 0.7500, 0.5000], [0.5000, 0.5000, 0.0000], [0.0993, 0.1250, 0.4743], [0.3750, 0.9007, 0.0257], [0.6507, 0.6250, 0.5257], [0.8750, 0.3493, 0.9743]]}

=====

17.
{"formula": "Pr6GaGe2I3", "functional": "GGA-PBE", "state": "relaxed", "space_group": "No. 12", "formation_energy_uncorrected_kcal_per_mol_atoms": -21.90, "total_magnetization_mub_per_fu": 0.00, "energy_ev_per_atom": -4.749, "dos_at_fermi_per_ev_cell": 4.7, "cell": [[3.8235, -6.6263, 0.0000], [3.8235, 6.6263, 0.0000], [-2.5483, 0.0000, 7.6738]], "species": ["Pr", "Pr", "Pr", "Pr", "Pr", "Pr", "Ga", "Ge", "Ge", "I", "I", "I"], "fractional_positions": [[0.0982, 0.4322, 0.7962], [0.2341, 0.2341, 0.2041], [0.4322, 0.0982, 0.7962], [0.5678, 0.9018, 0.2038], [0.7659, 0.7659, 0.7959], [0.9018, 0.5678, 0.2038], [0.5000, 0.5000, 0.0000], [0.1664, 0.8336, 0.0000], [0.8336, 0.1664, 0.0000], [0.0000, 0.0000, 0.5000], [0.3330, 0.6670, 0.5000], [0.6670, 0.3330, 0.5000]]}

=====

18.
{"formula": "Mg2CrAu", "functional": "GGA-PBE", "state": "relaxed", "space_group": "No. 160", "formation_enthalpy_0k_ev_per_atom": 0.187, "total_magnetization_mub_per_fu": 4.14, "energy_ev_per_atom": -3.835, "dos_at_fermi_per_ev_cell": 2.0, "cell": [[1.5597, 0.9005, 9.3576], [-1.5597, 0.9005, 9.3576], [0.0000, -1.8010, 9.3576]], "species": ["Mg", "Mg", "Cr", "Au"], "fractional_positions": [[0.0000, 0.0000, 0.0000], [0.2366, 0.2366, 0.2366], [0.7501, 0.7501, 0.7501], [0.4931, 0.4931, 0.4931]]}

=====

19.
{"formula": "NdZrBi", "functional": "GGA-PBE", "state": "relaxed", "space_group": "No. 71", "formation_enthalpy_0k_ev_per_atom": -0.232, "total_magnetization_mub_per_fu": 0.00, "energy_ev_per_atom": -5.965, "dos_at_fermi_per_ev_cell": 7.6, "cell": [[-1.6876, 2.9301, 8.8680], [1.6876, -2.9301, 8.8680], [1.6876, 2.9301, -8.8680]], "species": ["Nd", "Nd", "Zr", "Zr", "Bi", "Bi"], "fractional_positions": [[0.1621, 0.1621, 0.0000], [0.8379, 0.8379, 0.0000], [0.2385, 0.5000, 0.7385], [0.7615, 0.5000, 0.2615], [0.3481, 0.3481, 0.0000], [0.6519, 0.6519, 0.0000]]}

=====

20.
{"formula": "LiPbAu2", "functional": "GGA-PBE", "state": "relaxed", "space_group": "No. 6", "formation_enthalpy_0k_ev_per_atom": -0.239, "total_magnetization_mub_per_fu": 0.00, "energy_ev_per_atom": -3.283, "dos_at_fermi_per_ev_cell": 1.4, "cell": [[3.4765, 0.0000, 0.0000], [0.0000, 4.3006, 0.0000], [-1.6821, 0.0000, 5.8005]], "species": ["Li", "Pb", "Au", "Au"], "fractional_positions": [[0.0000, 0.0000, 0.0000], [0.6917, 0.5000, 0.3947], [0.2910, 0.0000, 0.5904], [0.4573, 0.5000, 0.9070]]}